The following is a PBE-GGA calculation of crystalline Na2Nb2VTe6 at its relaxed geometry, from the Alexandria database.

Cell: 6.742 6.742 8.272 Å, 96.24 96.24 120.83°
Positions (direct):
1 Na 0.813 0.187 0.000
2 Na 0.187 0.813 0.000
3 Nb 0.373 0.627 0.500
4 Nb 0.627 0.373 0.500
5 V 0.000 0.000 0.500
6 Te 0.754 0.754 0.742
7 Te 0.038 0.386 0.693
8 Te 0.246 0.246 0.258
9 Te 0.386 0.038 0.693
10 Te 0.962 0.614 0.307
11 Te 0.614 0.962 0.307

Summary:
Formation energy (no corrections) ... -0.512 eV/atom
Energy ... -5.125 eV/atom